20
Lattice="-3.820 0.814 6.106 3.369 -6.417 0.095 4.916 5.303 -0.500" Properties=species:S:1:pos:R:3 comment="Mg3MnTl4F12 | Alexandria via LeMat-Bulk | PBE+U | relaxed" e_tot_ev_per_cell=-98.416 n_ef_per_ev_atom=0.000 magmom_total_mub_per_fu=4.99 pbc="T T T"
F 6.144 -0.826 -0.300
F 2.620 2.780 2.702
F 2.142 -0.288 -0.105
F 0.049 -1.272 4.502
F 0.813 4.536 4.157
F 1.846 -3.080 3.000
F 4.417 0.972 1.199
F 4.030 -1.958 1.348
F 0.283 1.581 1.449
F -0.117 -1.448 1.603
F 0.436 1.658 4.354
F -0.334 -4.155 4.598
Mg -0.225 -2.802 3.101
Mg 0.548 3.058 2.803
Mg 4.143 -0.557 -0.202
Tl 1.685 -3.209 0.047
Tl 2.233 -0.150 2.851
Tl -1.910 0.407 3.053
Tl 2.458 2.651 -0.250
Mn 0.000 0.000 0.000